# 1
! PBE PrHoFe, optimized geometry; values from VASP
! SG = P4_12_12 (92)
! formation enthalpy at 0 K = 0.226 eV/atom
! DOS at the Fermi energy = 8.8 states/eV per cell
! relative energy among the computed polymorphs = 0.26 eV per formula unit
&SYSTEM
  ibrav = 0, nat = 12, ntyp = 3
/
ATOMIC_SPECIES
Ho 164.93 Ho.upf
Fe 55.84 Fe.upf
Pr 140.91 Pr.upf
ATOMIC_POSITIONS angstrom
Ho 0.155 -1.606 -2.153
Ho -1.616 -6.663 -2.922
Ho 1.623 -5.093 -1.653
Ho -5.058 -6.127 -1.364
Fe -2.718 -7.079 -0.485
Fe -1.461 -8.260 -5.063
Fe 0.001 -0.009 -0.012
Fe -0.717 -4.140 -2.532
Pr -3.058 -3.186 -3.412
Pr 0.361 -3.730 -5.002
Pr -1.821 -4.539 -0.073
Pr -0.376 -8.033 0.395
CELL_PARAMETERS angstrom
-3.641 -1.072 -5.031
4.155 -4.246 -2.102
-3.949 -5.901 4.115


# 2
! PBE PrHoFe, optimized geometry; values from VASP
! SG = I4mm (107)
! formation enthalpy at 0 K = 0.138 eV/atom
! DOS at the Fermi energy = 3.9 states/eV per cell
! relative energy among the computed polymorphs = 0.00 eV per formula unit
&SYSTEM
  ibrav = 0, nat = 3, ntyp = 3
/
ATOMIC_SPECIES
Pr 140.91 Pr.upf
Ho 164.93 Ho.upf
Fe 55.84 Fe.upf
ATOMIC_POSITIONS angstrom
Pr 0.000 0.000 3.846
Ho 0.000 0.000 0.540
Fe 1.723 1.723 2.090
CELL_PARAMETERS angstrom
3.445 0.000 0.000
0.000 3.445 0.000
-1.723 -1.723 6.476


# 3
! PBE PrHoZnFe, optimized geometry; values from VASP
! SG = F-43m (216)
! formation enthalpy at 0 K = -0.012 eV/atom
! DOS at the Fermi energy = 4.2 states/eV per cell
&SYSTEM
  ibrav = 0, nat = 4, ntyp = 4
/
ATOMIC_SPECIES
Pr 140.91 Pr.upf
Zn 65.41 Zn.upf
Ho 164.93 Ho.upf
Fe 55.84 Fe.upf
ATOMIC_POSITIONS angstrom
Pr -2.835 0.152 1.162
Zn 0.000 0.000 0.000
Ho -8.506 0.457 3.486
Fe -5.671 0.304 2.324
CELL_PARAMETERS angstrom
-4.855 0.536 -1.116
-3.467 -2.449 2.661
-3.020 2.522 3.103